Entry 1:
# Pr5YP6

A relaxed Pr5YP6 crystal (PBE, Alexandria).

Results
Formation energy from the elements = -18.33 eV/f.u.

```
Pr5YP6
1.0
3.616 -6.261 0.000
3.616 6.261 0.000
-2.410 0.000 6.816
Pr Y P
5 1 6
Cartesian
0.000 0.000 0.000 Pr
2.411 4.177 3.408 Pr
3.616 2.097 0.000 Pr
3.616 -2.097 0.000 Pr
2.411 -4.177 3.408 Pr
2.411 0.000 3.408 Y
1.227 2.051 1.731 P
0.043 0.000 5.090 P
1.227 -2.051 1.731 P
3.596 2.051 5.085 P
4.780 0.000 1.725 P
3.596 -2.051 5.085 P
```



Entry 2:
# SrCuSb2Pd4

A relaxed SrCuSb2Pd4 crystal (PBE, Alexandria).

Results
Raw formation energy = -4.0 eV per formula unit

```
SrCuSb2Pd4
1.0
2.257 1.303 9.163
-2.257 1.303 9.163
0.000 -2.606 9.163
Sr Cu Sb Pd
1 1 2 4
Cartesian
0.000 0.000 0.000 Sr
0.000 0.000 13.745 Cu
0.000 0.000 6.587 Sb
0.000 0.000 20.902 Sb
0.000 0.000 3.817 Pd
0.000 0.000 11.204 Pd
0.000 0.000 16.285 Pd
0.000 0.000 23.672 Pd
```



Entry 3:
# NaTh2Al

A relaxed NaTh2Al crystal (PBE, Alexandria).

Results
Formation energy from the elements = 0.80 eV/f.u.

```
NaTh2Al
1.0
1.684 0.972 12.356
-1.684 0.972 12.356
0.000 -1.944 12.356
Na Th Al
1 2 1
Cartesian
0.000 0.000 0.000 Na
0.000 0.000 3.591 Th
0.000 0.000 33.478 Th
0.000 0.000 18.534 Al
```



Entry 4:
# BePPb4

A relaxed BePPb4 crystal (PBE, Alexandria).

Results
Formation energy from the elements = 5.65 eV/f.u.

```
BePPb4
1.0
0.000 4.485 4.485
4.485 0.000 4.485
4.485 4.485 0.000
Be P Pb
1 1 4
Cartesian
0.000 0.000 0.000 Be
6.727 6.727 6.727 P
3.361 3.361 3.361 Pb
5.608 5.608 3.361 Pb
5.608 3.361 5.608 Pb
3.361 5.608 5.608 Pb
```



Entry 5:
# TlRe3Si

A relaxed TlRe3Si crystal (PBE, Alexandria).

Results
Raw formation energy = 17.5 eV per formula unit
Relative energy among the computed polymorphs = 2175 meV/atom

```
TlRe3Si
1.0
4.937 0.000 0.000
0.000 4.937 0.000
0.000 0.000 4.937
Tl Re Si
1 3 1
Cartesian
0.000 0.000 0.000 Tl
0.000 0.000 2.468 Re
0.000 2.468 0.000 Re
2.468 0.000 0.000 Re
2.468 2.468 2.468 Si
```



Entry 6:
# LiTcIN2

A relaxed LiTcIN2 crystal (PBE, Alexandria).

Results
Raw formation energy = 10.4 eV per formula unit
Relative energy among the computed polymorphs = 1870 meV/atom

```
LiTcIN2
1.0
3.837 0.000 0.000
0.000 3.837 0.000
0.000 0.000 4.716
Li Tc I N
1 1 1 2
Cartesian
0.000 0.000 0.000 Li
1.919 1.919 2.358 Tc
0.000 0.000 2.358 I
0.000 1.919 0.000 N
1.919 0.000 0.000 N
```



Entry 7:
# Pr8Ga3NiI4

A relaxed Pr8Ga3NiI4 crystal (PBE, Alexandria).

Results
Raw formation energy = -11.5 eV per formula unit

```
Pr8Ga3NiI4
1.0
7.601 -4.308 0.000
7.601 4.308 0.000
-5.125 0.000 7.797
Pr Ga Ni I
8 3 1 4
Cartesian
3.825 2.260 5.454 Pr
-0.118 0.000 5.511 Pr
6.253 2.260 2.343 Pr
2.525 0.000 2.199 Pr
7.552 0.000 5.598 Pr
3.825 -2.260 5.454 Pr
10.196 0.000 2.286 Pr
6.253 -2.260 2.343 Pr
1.238 2.154 3.898 Ga
1.238 -2.154 3.898 Ga
5.039 0.000 3.898 Ga
-2.562 0.000 3.898 Ni
0.000 0.000 0.000 I
3.801 2.154 0.000 I
3.801 -2.154 0.000 I
7.601 0.000 0.000 I
```



Entry 8:
# LaHf2P2

A relaxed LaHf2P2 crystal (PBE, Alexandria).

Results
Formation energy from the elements = -4.38 eV/f.u.
Relative energy among the computed polymorphs = 0 meV/atom

```
LaHf2P2
1.0
7.565 0.000 0.000
0.000 7.565 0.000
0.000 0.000 3.447
La Hf P
2 4 4
Cartesian
0.000 0.000 0.000 La
3.782 3.782 0.000 La
1.118 2.665 1.724 Hf
2.665 6.447 1.724 Hf
4.900 1.118 1.724 Hf
6.447 4.900 1.724 Hf
1.018 4.800 0.000 P
2.764 1.018 0.000 P
4.800 6.547 0.000 P
6.547 2.764 0.000 P
```



Entry 9:
# CaSiTc

A relaxed CaSiTc crystal (PBE, Alexandria).

Results
Raw formation energy = -1.2 eV per formula unit
Relative energy among the computed polymorphs = 0 meV/atom

```
CaSiTc
1.0
4.170 0.000 0.000
0.000 4.170 0.000
0.000 0.000 7.133
Ca Si Tc
2 2 2
Cartesian
1.043 1.043 1.226 Ca
3.128 3.128 5.907 Ca
1.043 1.043 4.893 Si
3.128 3.128 2.240 Si
1.043 3.128 3.566 Tc
3.128 1.043 3.566 Tc
```



Entry 10:
# Tb2NbCd

A relaxed Tb2NbCd crystal (PBE, Alexandria).

Results
Formation energy from the elements = 0.16 eV/f.u.
Relative energy among the computed polymorphs = 0 meV/atom

```
Tb2NbCd
1.0
3.341 0.000 0.000
0.000 3.341 0.000
0.000 0.000 8.988
Tb Nb Cd
2 1 1
Cartesian
0.000 0.000 2.153 Tb
0.000 0.000 6.835 Tb
1.670 1.670 0.000 Nb
1.670 1.670 4.494 Cd
```



Entry 11:
# AcY2Se

A relaxed AcY2Se crystal (PBE, Alexandria).

Results
Raw formation energy = -3.3 eV per formula unit
Relative energy among the computed polymorphs = 0 meV/atom

```
AcY2Se
1.0
1.945 1.123 9.821
-1.945 1.123 9.821
0.000 -2.246 9.821
Ac Y Se
1 2 1
Cartesian
0.000 0.000 0.000 Ac
0.000 0.000 16.505 Y
0.000 0.000 22.765 Y
0.000 0.000 4.904 Se
```



Entry 12:
# Th4PC2

A relaxed Th4PC2 crystal (PBE, Alexandria).

Results
Formation energy from the elements = -4.07 eV/f.u.

```
Th4PC2
1.0
1.933 -6.380 0.000
1.933 6.380 0.000
0.000 0.000 12.548
Th P C
8 2 4
Cartesian
0.000 0.000 0.000 Th
0.000 0.000 6.274 Th
1.933 2.866 7.743 Th
1.933 2.866 11.080 Th
1.933 0.903 3.137 Th
1.933 -0.903 9.411 Th
1.933 -2.866 1.469 Th
1.933 -2.866 4.805 Th
1.933 5.171 3.137 P
1.933 -5.171 9.411 P
1.933 1.836 0.763 C
1.933 1.836 5.511 C
1.933 -1.836 7.037 C
1.933 -1.836 11.785 C
```



| no. | raw total energy (eV/atom) | N(E_F) (states/eV/atom) |
| --- | --- | --- |
| 1 | -6.76 | 0.07 |
| 2 | -4.85 | 0.60 |
| 3 | -4.77 | 1.19 |
| 4 | -3.05 | 0.85 |
| 5 | -5.52 | 1.15 |
| 6 | -4.02 | 0.90 |
| 7 | -4.42 | 1.00 |
| 8 | -8.01 | 0.73 |
| 9 | -6.33 | 0.97 |
| 10 | -5.02 | 1.23 |
| 11 | -5.95 | 1.19 |
| 12 | -8.23 | 0.78 |